Entry 1:
A plane-wave DFT calculation with PBEsol was carried out for an optimized crystal structure of V2CdP2O10.

D(E_F) = 1.76 states/eV/cell
M_tot = 4.000 μB per cell
ΔE_f (raw) = -2140 meV per atom

Lattice parameters (Å, degrees): 6.7537 6.7537 8.7214 102.55 102.55 116.04
Fractional positions:
P  0.0358  0.5355  0.0828
O  0.3469  0.1320  0.5359
O  0.5759  0.5721  0.1652
O  0.9636  0.9876  0.2976
V  0.6005  0.3771  0.7633
O  0.6400  0.9190  0.0304
O  0.6606  0.1569  0.3348
O  0.0610  0.3461  0.9641
O  0.8886  0.6096  0.9696
V  0.0873  0.3639  0.7367
O  0.0010  0.0307  0.6930
O  0.9160  0.4401  0.2024
O  0.3820  0.0969  0.0359
O  0.5961  0.8110  0.4641
O  0.1690  0.3900  0.5304
P  0.7855  0.7858  0.5828
O  0.2376  0.7136  0.7976
O  0.8221  0.3259  0.6652
O  0.8596  0.6386  0.4696
O  0.3377  0.3080  0.3070
V  0.6271  0.3505  0.2633
O  0.5580  0.0877  0.8070
V  0.6139  0.8373  0.2367
Cd  0.2487  0.7487  0.5000
Cd  0.9987  0.9987  0.0000
O  0.4069  0.4106  0.8348
O  0.2807  0.7510  0.1930
O  0.6901  0.6660  0.7024
P  0.4527  0.9530  0.9172
P  0.2030  0.2027  0.4172

---

Entry 2:
A plane-wave DFT calculation with PBEsol was carried out for an optimized crystal structure of CuPtAu2.

Energy of formation from the pure elements = -0.11 eV per formula unit
D(E_F) = 1.59 states/eV/cell
M_tot = 0.000 μB per cell
Energy above the most stable polymorph in this dataset = 0.017 eV/atom

Lattice parameters (Å, degrees): 2.7856 2.7856 9.1865 81.28 81.28 60.00
Fractional positions:
Cu  0.5015  0.5015  0.4954
Pt  0.2435  0.2435  0.2695
Au  0.7565  0.7565  0.7306
Au  0.9985  0.9985  0.0046

---

The lowest M_tot belongs to which entry? CuPtAu2